# 1
This record from Alexandria via LeMat-Bulk describes crystalline Pr6Nd2Th at its relaxed geometry. The functional is PBE.

Computed properties:
Its space group is P-6m2 (187). Its density of states at the Fermi level is 1.725 states/eV/atom. The calculation puts the energy relative to the lowest polymorph listed for this composition at 0 meV per atom. The volume comes out at 36.0 A^3/atom. As for the formation energy: 6.7 kJ/mol of atoms. The value obtained for the magnetization is 0.00 Bohr magnetons per cell. The total energy comes out at -5.00 eV per atom.

Unit cell a=3.675 b=3.675 c=27.671 alpha=90.00 beta=90.00 gamma=120.00
Element x y z (fractional)
Pr 0.000 0.000 0.063
Pr 0.000 0.000 0.282
Pr 0.000 0.000 0.718
Pr 0.000 0.000 0.937
Pr 0.333 0.667 0.393
Pr 0.333 0.667 0.607
Nd 0.333 0.667 0.170
Nd 0.333 0.667 0.830
Th 0.000 0.000 0.500

# 2
This record from Alexandria via LeMat-Bulk describes crystalline Er3Mg7Al2 at its relaxed geometry. The functional is PBE.

Computed properties:
Its space group is R-3m (166). Its density of states at the Fermi level is 0.777 states/eV/atom. The volume comes out at 23.8 A^3/atom. As for the formation energy: -6.4 kJ/mol of atoms. The value obtained for the magnetization is 0.00 Bohr magnetons per cell. The total energy comes out at -2.76 eV per atom.

Unit cell a=10.068 b=10.068 c=10.068 alpha=34.09 beta=34.09 gamma=34.09
Element x y z (fractional)
Er 0.000 0.000 0.000
Er 0.145 0.145 0.145
Er 0.855 0.855 0.855
Mg 0.076 0.583 0.583
Mg 0.417 0.417 0.924
Mg 0.417 0.924 0.417
Mg 0.500 0.500 0.500
Mg 0.583 0.076 0.583
Mg 0.583 0.583 0.076
Mg 0.924 0.417 0.417
Al 0.334 0.334 0.334
Al 0.666 0.666 0.666

# 3
This record from Alexandria via LeMat-Bulk describes crystalline SmYPu4 at its relaxed geometry. The functional is PBE.

Computed properties:
Its space group is F-43m (216). Its density of states at the Fermi level is 4.813 states/eV/atom. The volume comes out at 28.1 A^3/atom. As for the formation energy: 22.7 kJ/mol of atoms. The value obtained for the magnetization is 22.78 Bohr magnetons per cell. The total energy comes out at -11.18 eV per atom.

Unit cell a=6.199 b=6.199 c=6.199 alpha=60.00 beta=60.00 gamma=60.00
Element x y z (fractional)
Sm 0.000 0.000 0.000
Y 0.750 0.750 0.750
Pu 0.375 0.375 0.375
Pu 0.375 0.375 0.875
Pu 0.375 0.875 0.375
Pu 0.875 0.375 0.375

# 4
This record from Alexandria via LeMat-Bulk describes crystalline CsBaNpI6 at its relaxed geometry. The functional is PBE.

Computed properties:
Its space group is P-31c (163). Its density of states at the Fermi level is 1.005 states/eV/atom. The volume comes out at 59.1 A^3/atom. The calculation puts the formation energy without anion corrections at -30.509 kcal/mol of atoms. The value obtained for the magnetization is 8.00 Bohr magnetons per cell. The total energy comes out at -4.10 eV per atom.

Unit cell a=8.673 b=8.673 c=16.319 alpha=90.00 beta=90.00 gamma=120.00
Element x y z (fractional)
Cs 0.000 0.000 0.000
Cs 0.000 0.000 0.500
Ba 0.333 0.667 0.250
Ba 0.667 0.333 0.750
Np 0.333 0.667 0.750
Np 0.667 0.333 0.250
I 0.030 0.387 0.638
I 0.030 0.643 0.862
I 0.357 0.387 0.862
I 0.357 0.970 0.638
I 0.387 0.030 0.138
I 0.387 0.357 0.362
I 0.613 0.643 0.638
I 0.613 0.970 0.862
I 0.643 0.030 0.362
I 0.643 0.613 0.138
I 0.970 0.357 0.138
I 0.970 0.613 0.362